Record 1
CuAsSe (PBE, optimized geometry); M_tot = 0.000 μB per formula unit; energy relative to the elements, uncorrected = 0.199 eV/atom
1.0
4.331 0.000 0.000
2.166 3.751 0.000
2.166 1.250 3.536
As Cu Se
1 1 1
Direct
0.500 0.500 0.500
0.750 0.750 0.750
0.000 0.000 0.000

---

Record 2
Cu7As6Se13 (PBE, optimized geometry); M_tot = 0.000 μB per formula unit; energy relative to the elements, uncorrected = -0.066 eV/atom
1.0
-8.644 -1.482 -0.198
3.139 -6.454 -5.044
2.190 -2.670 8.063
As Cu Se
6 7 13
Direct
0.848 0.981 0.499
0.499 0.848 0.981
0.981 0.499 0.848
0.062 0.640 0.529
0.529 0.062 0.640
0.640 0.529 0.062
0.145 0.932 0.206
0.206 0.145 0.932
0.932 0.206 0.145
0.273 0.374 0.588
0.588 0.273 0.374
0.374 0.588 0.273
0.755 0.755 0.755
0.093 0.284 0.743
0.743 0.093 0.284
0.284 0.743 0.093
0.328 0.956 0.782
0.782 0.328 0.956
0.956 0.782 0.328
0.347 0.145 0.442
0.442 0.347 0.145
0.145 0.442 0.347
0.509 0.576 0.796
0.796 0.509 0.576
0.576 0.796 0.509
0.971 0.971 0.971

---

Record 3
CuAsSe2 (PBE, optimized geometry); M_tot = 0.000 μB per formula unit; energy relative to the elements, uncorrected = 0.537 eV/atom
1.0
4.691 0.000 0.000
2.345 4.062 0.000
2.345 1.354 3.830
As Cu Se
1 1 2
Direct
0.500 0.500 0.500
0.750 0.750 0.750
0.000 0.000 0.000
0.250 0.250 0.250

---

Record 4
CuAsSe2 (PBE, optimized geometry); M_tot = 0.000 μB per formula unit; energy relative to the elements, uncorrected = 0.251 eV/atom
1.0
2.725 0.000 0.000
0.000 2.725 0.000
0.000 0.000 11.543
As Cu Se
1 1 2
Direct
0.000 0.000 0.574
0.500 0.500 0.736
0.000 0.000 0.925
0.500 0.500 0.265

---

Record 5
CuAsSe (PBE, optimized geometry); M_tot = 0.000 μB per formula unit; energy relative to the elements, uncorrected = 0.249 eV/atom
1.0
-1.991 -7.040 2.723
-0.048 -5.330 5.703
-0.678 6.928 -3.533
As Cu Se
1 1 1
Direct
0.959 0.959 0.000
0.339 0.339 0.000
0.702 0.702 0.000

---

Record 6
Cu3AsSe (PBE, optimized geometry); energy relative to the lowest polymorph listed for this composition = 0 meV/atom; M_tot = 0.000 μB per formula unit; energy relative to the elements, uncorrected = 0.461 eV/atom
1.0
-1.472 -4.201 1.005
1.652 -1.529 -3.970
3.991 -0.917 2.014
As Cu Se
1 3 1
Direct
0.000 0.000 0.000
0.000 0.500 0.000
0.000 0.000 0.500
0.500 0.000 0.000
0.500 0.500 0.500

---

Record 7
CuAsSe2 (PBE, optimized geometry); M_tot = 0.000 μB per formula unit; energy relative to the elements, uncorrected = 0.098 eV/atom
1.0
6.459 0.035 0.000
4.068 5.017 0.000
-5.453 -2.131 2.728
As Cu Se
1 1 2
Direct
0.750 0.250 0.500
0.250 0.750 0.500
0.900 0.900 0.000
0.600 0.600 0.000

---

Record 8
CuAsSe (PBE, optimized geometry); M_tot = 0.000 μB per formula unit; energy relative to the elements, uncorrected = -0.131 eV/atom
1.0
6.868 0.000 0.000
0.000 11.905 0.000
0.000 0.000 19.532
Cu As Se
24 24 24
Direct
0.022 0.330 0.304
0.310 0.332 0.139
0.522 0.830 0.196
0.478 0.830 0.696
0.310 0.668 0.361
0.978 0.670 0.696
0.858 0.172 0.471
0.810 0.168 0.139
0.642 0.672 0.529
0.142 0.172 0.971
0.190 0.832 0.861
0.810 0.832 0.361
0.858 0.828 0.029
0.690 0.332 0.639
0.978 0.330 0.804
0.358 0.328 0.471
0.142 0.828 0.529
0.690 0.668 0.861
0.478 0.170 0.804
0.522 0.170 0.304
0.022 0.670 0.196
0.358 0.672 0.029
0.190 0.168 0.639
0.642 0.328 0.971
0.502 0.515 0.816
0.498 0.485 0.184
0.498 0.515 0.316
0.848 0.517 0.146
0.322 0.018 0.017
0.678 0.018 0.517
0.178 0.482 0.517
0.152 0.483 0.854
0.822 0.518 0.483
0.502 0.485 0.684
0.002 0.985 0.816
0.652 0.017 0.854
0.178 0.518 0.983
0.998 0.015 0.184
0.152 0.517 0.646
0.822 0.482 0.017
0.322 0.982 0.483
0.348 0.983 0.146
0.678 0.982 0.983
0.998 0.985 0.316
0.348 0.017 0.354
0.848 0.483 0.354
0.002 0.015 0.684
0.652 0.983 0.646
0.521 0.166 0.681
0.814 0.166 0.015
0.186 0.166 0.515
0.648 0.666 0.653
0.021 0.334 0.681
0.021 0.666 0.819
0.979 0.334 0.181
0.314 0.666 0.485
0.852 0.166 0.347
0.814 0.834 0.485
0.352 0.334 0.347
0.186 0.834 0.985
0.148 0.166 0.847
0.521 0.834 0.819
0.686 0.334 0.515
0.479 0.834 0.319
0.479 0.166 0.181
0.352 0.666 0.153
0.979 0.666 0.319
0.648 0.334 0.847
0.686 0.666 0.985
0.314 0.334 0.015
0.148 0.834 0.653
0.852 0.834 0.153

---

Record 9
CuAsSe (PBE, optimized geometry); M_tot = 0.000 μB per formula unit; energy relative to the elements, uncorrected = -0.137 eV/atom
1.0
-3.191 -2.268 -0.887
3.378 -4.391 -0.928
-0.938 -3.123 11.361
As Cu Se
4 4 4
Direct
0.752 0.862 0.516
0.752 0.638 0.016
0.252 0.362 0.984
0.252 0.138 0.484
0.753 0.916 0.169
0.753 0.584 0.669
0.253 0.416 0.331
0.253 0.084 0.831
0.753 0.845 0.833
0.753 0.655 0.333
0.253 0.345 0.667
0.253 0.155 0.167

---

Record 10
CuAs2Se6 (PBE, optimized geometry); M_tot = 0.000 μB per formula unit; energy relative to the elements, uncorrected = 0.028 eV/atom
1.0
-3.578 -2.209 4.839
6.006 0.768 6.867
-1.773 7.858 4.351
Cu As Se
2 4 12
Direct
0.250 0.227 0.773
0.750 0.773 0.227
0.026 0.635 0.777
0.474 0.223 0.365
0.974 0.365 0.223
0.526 0.777 0.635
0.267 0.698 0.520
0.233 0.480 0.302
0.733 0.302 0.480
0.767 0.520 0.698
0.754 0.900 0.411
0.746 0.589 0.100
0.246 0.100 0.589
0.254 0.411 0.900
0.097 0.870 0.055
0.403 0.945 0.130
0.903 0.130 0.945
0.597 0.055 0.870

---

Record 11
CuAsSe (PBE, optimized geometry); M_tot = 0.000 μB per formula unit; energy relative to the elements, uncorrected = 0.205 eV/atom
1.0
-3.999 -3.971 1.528
-0.218 -3.728 4.489
0.970 5.505 -1.689
As Cu Se
1 1 1
Direct
0.942 0.942 0.000
0.343 0.343 0.000
0.716 0.716 0.000

---

Record 12
CuAsSe2 (PBE, optimized geometry); M_tot = 0.000 μB per formula unit; energy relative to the elements, uncorrected = -0.030 eV/atom
1.0
-3.160 1.974 2.225
-2.793 -3.087 -1.227
1.231 -2.791 4.224
Cu As Se
1 1 2
Direct
0.000 0.000 0.000
0.500 0.500 0.500
0.000 0.500 0.219
0.500 0.000 0.781